A plane-wave DFT calculation with PBE-GGA was carried out for a geometry-optimized YScSe3 structure.

a b c (Å): 5.3632 5.3632 5.3632
angles (deg): 90.00 90.00 90.00
Closest atoms and distances in Å follow each position.
Atoms (fractional coordinates):
Y1 0.0000 0.0000 0.0000  6 Se 2.68
Sc1 0.5000 0.5000 0.5000  12 Se 3.79
Se1 0.0000 0.5000 0.0000  2 Y 2.68
Se2 0.0000 0.0000 0.5000  2 Y 2.68
Se3 0.5000 0.0000 0.0000  2 Y 2.68

## Properties
As for the space-group type: No. 221. For the density of states at the Fermi level, the calculation gives 1.38 states/eV per cell. As for the uncorrected formation energy: -0.692 eV per atom. The density comes out at 4.0 g/cm³.

---

A plane-wave DFT calculation with PBE-GGA was carried out for a geometry-optimized SrTaTl structure.

a b c (Å): 5.2536 5.2536 5.2536
angles (deg): 60.00 60.00 60.00
Closest atoms and distances in Å follow each position.
Atoms (fractional coordinates):
Sr1 0.7500 0.7500 0.7500  4 Ta 3.22, 4 Tl 3.22
Ta1 0.0000 0.0000 0.0000  4 Sr 3.22
Tl1 0.5000 0.5000 0.5000  4 Sr 3.22

## Properties
As for the space-group type: No. 216. For the density of states at the Fermi level, the calculation gives 7.17 states/eV per cell. The value obtained for the formation energy from the elements is 1.624 eV per atom. The density comes out at 7.7 g/cm³.

---

A plane-wave DFT calculation with PBE-GGA was carried out for a geometry-optimized La4CoAgI2 structure.

a b c (Å): 4.3095 7.5402 8.5271
angles (deg): 106.15 90.00 90.00
Closest atoms and distances in Å follow each position.
Atoms (fractional coordinates):
La1 0.5000 0.2766 0.1902  1 Co 2.64
La2 0.5000 0.7234 0.8098  1 Co 2.64
La3 0.0000 0.2850 0.8104  2 Co 2.90, 1 Ag 3.03
La4 0.0000 0.7150 0.1896  2 Co 2.90, 1 Ag 3.03
Co1 0.5000 0.5000 0.0000  6 La 2.64-2.90
Ag1 0.0000 0.0000 0.0000  6 La 3.03-3.12
I1 0.5000 0.0000 0.5000  6 La 3.62-3.79
I2 0.0000 0.5000 0.5000  6 La 3.46-3.47

## Properties
As for the space-group type: No. 10. For the density of states at the Fermi level, the calculation gives 7.43 states/eV per cell. As for the uncorrected formation energy: -0.632 eV per atom. The density comes out at 6.1 g/cm³.

---

density of number 1 (YScSe3)?
4.0 g/cm³

---

Among the records above, which one has the lowest density?
YScSe3

---

Which of these has the highest density?
SrTaTl

---

Number 3 is which compound?
La4CoAgI2